[1]
The following is a PBE calculation of a relaxed structure of CsUCu2Se4, from the Alexandria database.

Summary:
Total DFT energy (no corrections), eV/atom: -4.86
SG: C2 (5)
Formation energy without anion corrections, meV/atom: -579

```
CsUCu2Se4
1.0
5.783 -4.442 0.000
5.783 4.442 0.000
-3.535 0.000 5.337
Cs U Cu Se
1 1 2 4
direct
0.000 0.000 0.000 Cs
0.500 0.500 0.500 U
0.372 0.371 0.871 Cu
0.629 0.628 0.129 Cu
0.163 0.500 0.097 Se
0.500 0.837 0.903 Se
0.501 0.163 0.567 Se
0.837 0.499 0.433 Se
```

---

[2]
The following is a PBE calculation of a relaxed structure of Cs3UCu2Se6, from the Alexandria database.

Summary:
Total DFT energy (no corrections), eV/atom: -4.40
SG: C2/m (12)
Formation energy without anion corrections, meV/atom: -818

```
Cs3UCu2Se6
1.0
3.149 -8.597 0.000
3.149 8.597 0.000
-2.872 0.000 7.895
Cs U Cu Se
3 1 2 6
direct
0.000 0.000 0.000 Cs
0.332 0.668 0.000 Cs
0.668 0.332 0.000 Cs
0.000 0.000 0.500 U
0.423 0.577 0.500 Cu
0.577 0.423 0.500 Cu
0.005 0.250 0.340 Se
0.250 0.005 0.340 Se
0.421 0.421 0.733 Se
0.579 0.579 0.267 Se
0.750 0.995 0.660 Se
0.995 0.750 0.660 Se
```

---

[3]
The following is a PBE calculation of a relaxed structure of CsVCuSe4, from the Alexandria database.

Summary:
Total DFT energy (no corrections), eV/atom: -4.54
SG: I-4 (82)
Formation energy without anion corrections, meV/atom: -537

```
CsVCuSe4
1.0
-3.576 3.576 5.105
3.576 -3.576 5.105
3.576 3.576 -5.105
Cs V Cu Se
1 1 1 4
direct
0.000 0.000 0.000 Cs
0.250 0.750 0.500 V
0.500 0.500 0.000 Cu
0.250 0.612 0.134 Se
0.388 0.523 0.638 Se
0.477 0.116 0.866 Se
0.884 0.750 0.362 Se
```

---

[4]
The following is a PBE calculation of a relaxed structure of CsYCuSe2, from the Alexandria database.

Summary:
Total DFT energy (no corrections), eV/atom: -4.70
SG: P2/c (13)
Formation energy without anion corrections, meV/atom: -1025

```
CsYCuSe2
1.0
8.469 0.000 0.000
0.000 4.706 0.000
-1.175 0.000 8.147
Cs Y Cu Se
2 2 2 4
direct
0.000 0.161 0.250 Cs
0.000 0.839 0.750 Cs
0.500 0.495 0.750 Y
0.500 0.505 0.250 Y
0.500 0.000 0.000 Cu
0.500 0.000 0.500 Cu
0.286 0.331 0.970 Se
0.286 0.669 0.470 Se
0.714 0.331 0.530 Se
0.714 0.669 0.030 Se
```

---

[5]
The following is a PBE calculation of a relaxed structure of Cs2YCu2Se4, from the Alexandria database.

Summary:
Total DFT energy (no corrections), eV/atom: -4.43
SG: C2/m (12)
Formation energy without anion corrections, meV/atom: -1061

```
Cs2YCu2Se4
1.0
7.680 -2.060 0.000
7.680 2.060 0.000
-2.563 0.000 8.103
Cs Y Cu Se
2 1 2 4
direct
0.135 0.135 0.057 Cs
0.865 0.865 0.943 Cs
0.000 0.000 0.500 Y
0.320 0.320 0.516 Cu
0.680 0.680 0.484 Cu
0.198 0.198 0.655 Se
0.477 0.477 0.719 Se
0.523 0.523 0.281 Se
0.802 0.802 0.345 Se
```

---

[6]
The following is a PBE calculation of a relaxed structure of CsYb2Cu3Se5, from the Alexandria database.

Summary:
Total DFT energy (no corrections), eV/atom: -4.05
SG: Cmcm (63)
Formation energy without anion corrections, meV/atom: -996

```
CsYb2Cu3Se5
1.0
2.074 -7.386 0.000
2.074 7.386 0.000
0.000 0.000 17.544
Cs Yb Cu Se
2 4 6 10
direct
0.063 0.937 0.750 Cs
0.937 0.063 0.250 Cs
0.194 0.806 0.090 Yb
0.194 0.806 0.410 Yb
0.806 0.194 0.590 Yb
0.806 0.194 0.910 Yb
0.349 0.651 0.750 Cu
0.418 0.582 0.033 Cu
0.418 0.582 0.467 Cu
0.582 0.418 0.533 Cu
0.582 0.418 0.967 Cu
0.651 0.349 0.250 Cu
0.165 0.835 0.570 Se
0.165 0.835 0.930 Se
0.227 0.773 0.250 Se
0.439 0.561 0.609 Se
0.439 0.561 0.891 Se
0.561 0.439 0.109 Se
0.561 0.439 0.391 Se
0.773 0.227 0.750 Se
0.835 0.165 0.070 Se
0.835 0.165 0.430 Se
```